(1)
# Li2Tm3Cd6 | Alexandria via LeMat-Bulk | GGA-PBE | relaxed
# E_form = -0.134 eV per atom
# crystal system = tetragonal
# symmetry = I4/mmm, No. 139
# magnetization = 0.00 μB/f.u.
data_Li2Tm3Cd6
_chemical_formula_sum 'Li2 Tm3 Cd6'
_symmetry_space_group_name_H-M 'P 1'
_symmetry_Int_Tables_number 1
_cell_length_a 4.4031
_cell_length_b 4.4031
_cell_length_c 13.5016
_cell_angle_alpha 99.38
_cell_angle_beta 99.38
_cell_angle_gamma 90.00
loop_
_symmetry_equiv_pos_as_xyz
'x,y,z'
loop_
_atom_site_label
_atom_site_type_symbol
_atom_site_fract_x
_atom_site_fract_y
_atom_site_fract_z
_atom_site_occupancy
Cd1 Cd 0.6013 0.1013 0.2026 1
Cd2 Cd 0.3987 0.8987 0.7974 1
Cd3 Cd 0.6799 0.6799 0.3598 1
Cd4 Cd 0.1013 0.6013 0.2026 1
Cd5 Cd 0.3201 0.3201 0.6402 1
Cd6 Cd 0.8987 0.3987 0.7974 1
Tm1 Tm 0.0000 0.0000 0.0000 1
Tm2 Tm 0.7963 0.7963 0.5927 1
Tm3 Tm 0.2037 0.2037 0.4073 1
Li1 Li 0.4546 0.4546 0.9093 1
Li2 Li 0.5454 0.5454 0.0907 1

(2)
# GdMn3 | Alexandria via LeMat-Bulk | GGA-PBE | relaxed
# E_form = 0.287 eV per atom
# crystal system = hexagonal
# symmetry = P6_3/mmc, No. 194
# magnetization = 2.67 μB/f.u.
data_GdMn3
_chemical_formula_sum 'Gd2 Mn6'
_symmetry_space_group_name_H-M 'P 1'
_symmetry_Int_Tables_number 1
_cell_length_a 5.9577
_cell_length_b 5.9577
_cell_length_c 4.6056
_cell_angle_alpha 90.00
_cell_angle_beta 90.00
_cell_angle_gamma 120.00
loop_
_symmetry_equiv_pos_as_xyz
'x,y,z'
loop_
_atom_site_label
_atom_site_type_symbol
_atom_site_fract_x
_atom_site_fract_y
_atom_site_fract_z
_atom_site_occupancy
Gd1 Gd 0.6667 0.3333 0.2500 1
Gd2 Gd 0.3333 0.6667 0.7500 1
Mn1 Mn 0.1498 0.8502 0.2500 1
Mn2 Mn 0.7004 0.8502 0.2500 1
Mn3 Mn 0.8502 0.7004 0.7500 1
Mn4 Mn 0.8502 0.1498 0.7500 1
Mn5 Mn 0.1498 0.2996 0.2500 1
Mn6 Mn 0.2996 0.1498 0.7500 1

(3)
# Pm5NdErTm2 | Alexandria via LeMat-Bulk | GGA-PBE | relaxed
# E_form = 0.149 eV per atom
# crystal system = orthorhombic
# symmetry = Cmc2_1, No. 36
# magnetization = 0.00 μB/f.u.
data_Pm5NdErTm2
_chemical_formula_sum 'Pm10 Nd2 Er2 Tm4'
_symmetry_space_group_name_H-M 'P 1'
_symmetry_Int_Tables_number 1
_cell_length_a 5.6274
_cell_length_b 10.5161
_cell_length_c 10.7326
_cell_angle_alpha 90.00
_cell_angle_beta 90.00
_cell_angle_gamma 105.52
loop_
_symmetry_equiv_pos_as_xyz
'x,y,z'
loop_
_atom_site_label
_atom_site_type_symbol
_atom_site_fract_x
_atom_site_fract_y
_atom_site_fract_z
_atom_site_occupancy
Tm1 Tm 0.1157 0.2314 0.3157 1
Tm2 Tm 0.8904 0.7809 0.2396 1
Tm3 Tm 0.8843 0.7686 0.8157 1
Tm4 Tm 0.1096 0.2191 0.7396 1
Er1 Er 0.5891 0.1782 0.9583 1
Er2 Er 0.4109 0.8218 0.4583 1
Pm1 Pm 0.9836 0.9671 0.5225 1
Pm2 Pm 0.2817 0.5634 0.3076 1
Pm3 Pm 0.5202 0.0403 0.2420 1
Pm4 Pm 0.6084 0.2168 0.5247 1
Pm5 Pm 0.7026 0.4052 0.2041 1
Pm6 Pm 0.7183 0.4366 0.8076 1
Pm7 Pm 0.4798 0.9597 0.7420 1
Pm8 Pm 0.2974 0.5948 0.7041 1
Pm9 Pm 0.0164 0.0329 0.0225 1
Pm10 Pm 0.3916 0.7832 0.0247 1
Nd1 Nd 0.7985 0.5970 0.5094 1
Nd2 Nd 0.2015 0.4030 0.0094 1

(4)
# Ba2ThCu2Se6 | Alexandria via LeMat-Bulk | GGA-PBE | relaxed
# crystal system = monoclinic
# symmetry = C2/m, No. 12
# E_form (uncorrected) = -1.18 eV/atom
# magnetization = 0.00 μB/f.u.
data_Ba2ThCu2Se6
_chemical_formula_sum 'Ba2 Th1 Cu2 Se6'
_symmetry_space_group_name_H-M 'P 1'
_symmetry_Int_Tables_number 1
_cell_length_a 6.4984
_cell_length_b 7.5365
_cell_length_c 8.6729
_cell_angle_alpha 116.40
_cell_angle_beta 90.00
_cell_angle_gamma 115.54
loop_
_symmetry_equiv_pos_as_xyz
'x,y,z'
loop_
_atom_site_label
_atom_site_type_symbol
_atom_site_fract_x
_atom_site_fract_y
_atom_site_fract_z
_atom_site_occupancy
Ba1 Ba 0.2900 0.5800 0.7888 1
Ba2 Ba 0.7100 0.4200 0.2112 1
Se1 Se 0.3167 0.1316 0.8188 1
Se2 Se 0.2663 0.5326 0.3887 1
Se3 Se 0.1851 0.8684 0.1812 1
Se4 Se 0.6833 0.8684 0.1812 1
Se5 Se 0.7337 0.4674 0.6113 1
Se6 Se 0.8149 0.1316 0.8188 1
Cu1 Cu 0.9269 0.8538 0.7375 1
Cu2 Cu 0.0731 0.1462 0.2625 1
Th1 Th 0.5000 0.0000 0.5000 1

(5)
# La5NdTm2 | Alexandria via LeMat-Bulk | GGA-PBE | relaxed
# E_form = 0.035 eV per atom
# crystal system = monoclinic
# symmetry = C2/m, No. 12
# ΔE to the lowest computed polymorph = 0.026 eV/atom
# magnetization = 0.00 μB/f.u.
data_La5NdTm2
_chemical_formula_sum 'La5 Nd1 Tm2'
_symmetry_space_group_name_H-M 'P 1'
_symmetry_Int_Tables_number 1
_cell_length_a 3.6338
_cell_length_b 11.4012
_cell_length_c 9.0234
_cell_angle_alpha 129.11
_cell_angle_beta 101.60
_cell_angle_gamma 90.03
loop_
_symmetry_equiv_pos_as_xyz
'x,y,z'
loop_
_atom_site_label
_atom_site_type_symbol
_atom_site_fract_x
_atom_site_fract_y
_atom_site_fract_z
_atom_site_occupancy
La1 La 0.0000 0.5000 0.0000 1
La2 La 0.3689 0.1390 0.7385 1
La3 La 0.6297 0.4010 0.2618 1
La4 La 0.3703 0.5990 0.7382 1
La5 La 0.6311 0.8610 0.2615 1
Tm1 Tm 0.7422 0.2417 0.4833 1
Tm2 Tm 0.2578 0.7583 0.5167 1
Nd1 Nd 0.0000 0.0000 0.0000 1

(6)
# ErSCl | Alexandria via LeMat-Bulk | GGA-PBE | relaxed
# crystal system = cubic
# symmetry = F-43m, No. 216
# E_form (uncorrected) = -1.99 eV/atom
# ΔE to the lowest computed polymorph = 0.196 eV/atom
# magnetization = 0.00 μB/f.u.
data_ErSCl
_chemical_formula_sum 'Er1 S1 Cl1'
_symmetry_space_group_name_H-M 'P 1'
_symmetry_Int_Tables_number 1
_cell_length_a 4.6185
_cell_length_b 4.6185
_cell_length_c 4.6185
_cell_angle_alpha 60.00
_cell_angle_beta 60.00
_cell_angle_gamma 60.00
loop_
_symmetry_equiv_pos_as_xyz
'x,y,z'
loop_
_atom_site_label
_atom_site_type_symbol
_atom_site_fract_x
_atom_site_fract_y
_atom_site_fract_z
_atom_site_occupancy
S1 S 0.5000 0.5000 0.5000 1
Cl1 Cl 0.0000 0.0000 0.0000 1
Er1 Er 0.2500 0.2500 0.2500 1

(7)
# Dy2ZnGe2Rh5 | Alexandria via LeMat-Bulk | GGA-PBE | relaxed
# E_form = -0.766 eV per atom
# crystal system = tetragonal
# symmetry = P4/mbm, No. 127
# magnetization = 0.00 μB/f.u.
data_Dy2ZnGe2Rh5
_chemical_formula_sum 'Dy4 Zn2 Ge4 Rh10'
_symmetry_space_group_name_H-M 'P 1'
_symmetry_Int_Tables_number 1
_cell_length_a 3.5519
_cell_length_b 9.7372
_cell_length_c 9.7372
_cell_angle_alpha 90.00
_cell_angle_beta 90.00
_cell_angle_gamma 90.00
loop_
_symmetry_equiv_pos_as_xyz
'x,y,z'
loop_
_atom_site_label
_atom_site_type_symbol
_atom_site_fract_x
_atom_site_fract_y
_atom_site_fract_z
_atom_site_occupancy
Rh1 Rh 0.5000 0.7054 0.4336 1
Rh2 Rh 0.5000 0.0664 0.7946 1
Rh3 Rh 0.5000 0.5664 0.7054 1
Rh4 Rh 0.5000 0.0000 0.5000 1
Rh5 Rh 0.5000 0.2946 0.5664 1
Rh6 Rh 0.5000 0.2054 0.0664 1
Rh7 Rh 0.5000 0.9336 0.2054 1
Rh8 Rh 0.5000 0.7946 0.9336 1
Rh9 Rh 0.5000 0.4336 0.2946 1
Rh10 Rh 0.5000 0.5000 0.0000 1
Dy1 Dy 0.0000 0.1730 0.3270 1
Dy2 Dy 0.0000 0.8270 0.6730 1
Dy3 Dy 0.0000 0.6730 0.1730 1
Dy4 Dy 0.0000 0.3270 0.8270 1
Ge1 Ge 0.0000 0.6267 0.8733 1
Ge2 Ge 0.0000 0.1267 0.6267 1
Ge3 Ge 0.0000 0.3733 0.1267 1
Ge4 Ge 0.0000 0.8733 0.3733 1
Zn1 Zn 0.0000 0.5000 0.5000 1
Zn2 Zn 0.0000 0.0000 0.0000 1

(8)
# LiB4C4 | Alexandria via LeMat-Bulk | GGA-PBE | relaxed
# E_form = 0.133 eV per atom
# crystal system = monoclinic
# symmetry = C2/m, No. 12
# ΔE to the lowest computed polymorph = 0.044 eV/atom
# magnetization = 0.00 μB/f.u.
data_LiB4C4
_chemical_formula_sum 'Li2 B8 C8'
_symmetry_space_group_name_H-M 'P 1'
_symmetry_Int_Tables_number 1
_cell_length_a 7.0775
_cell_length_b 7.0775
_cell_length_c 9.1702
_cell_angle_alpha 106.04
_cell_angle_beta 106.04
_cell_angle_gamma 22.17
loop_
_symmetry_equiv_pos_as_xyz
'x,y,z'
loop_
_atom_site_label
_atom_site_type_symbol
_atom_site_fract_x
_atom_site_fract_y
_atom_site_fract_z
_atom_site_occupancy
B1 B 0.3820 0.3820 0.3325 1
B2 B 0.1222 0.1222 0.4187 1
B3 B 0.8778 0.8778 0.5813 1
B4 B 0.0614 0.0614 0.8831 1
B5 B 0.5736 0.5736 0.1536 1
B6 B 0.9386 0.9386 0.1169 1
B7 B 0.6180 0.6180 0.6675 1
B8 B 0.4264 0.4264 0.8464 1
Li1 Li 0.2546 0.2546 0.6536 1
Li2 Li 0.7454 0.7454 0.3464 1
C1 C 0.5481 0.5481 0.9673 1
C2 C 0.1047 0.1047 0.7460 1
C3 C 0.4519 0.4519 0.0327 1
C4 C 0.0944 0.0944 0.2419 1
C5 C 0.3660 0.3660 0.4917 1
C6 C 0.8953 0.8953 0.2540 1
C7 C 0.9056 0.9056 0.7581 1
C8 C 0.6340 0.6340 0.5083 1

(9)
# SmHo6Er2Th | Alexandria via LeMat-Bulk | GGA-PBE | relaxed
# E_form = 0.145 eV per atom
# crystal system = monoclinic
# symmetry = C2/c, No. 15
# magnetization = 0.00 μB/f.u.
data_SmHo6Er2Th
_chemical_formula_sum 'Sm2 Ho12 Er4 Th2'
_symmetry_space_group_name_H-M 'P 1'
_symmetry_Int_Tables_number 1
_cell_length_a 9.5563
_cell_length_b 8.7041
_cell_length_c 8.7041
_cell_angle_alpha 117.02
_cell_angle_beta 93.96
_cell_angle_gamma 93.96
loop_
_symmetry_equiv_pos_as_xyz
'x,y,z'
loop_
_atom_site_label
_atom_site_type_symbol
_atom_site_fract_x
_atom_site_fract_y
_atom_site_fract_z
_atom_site_occupancy
Sm1 Sm 0.7500 0.0253 0.9747 1
Sm2 Sm 0.2500 0.9747 0.0253 1
Th1 Th 0.2500 0.4058 0.5942 1
Th2 Th 0.7500 0.5942 0.4058 1
Ho1 Ho 0.3170 0.9763 0.4289 1
Ho2 Ho 0.0593 0.1208 0.7481 1
Ho3 Ho 0.1184 0.7025 0.4918 1
Ho4 Ho 0.8816 0.2975 0.5082 1
Ho5 Ho 0.6830 0.0237 0.5711 1
Ho6 Ho 0.8170 0.4289 0.9763 1
Ho7 Ho 0.6184 0.4918 0.7025 1
Ho8 Ho 0.3816 0.5082 0.2975 1
Ho9 Ho 0.5593 0.7481 0.1208 1
Ho10 Ho 0.1830 0.5711 0.0237 1
Ho11 Ho 0.4407 0.2519 0.8792 1
Ho12 Ho 0.9407 0.8792 0.2519 1
Er1 Er 0.0468 0.2961 0.1936 1
Er2 Er 0.5468 0.1936 0.2961 1
Er3 Er 0.4532 0.8064 0.7039 1
Er4 Er 0.9532 0.7039 0.8064 1

(10)
# KZn2AgI6 | Alexandria via LeMat-Bulk | GGA-PBE | relaxed
# crystal system = monoclinic
# symmetry = C2/c, No. 15
# E_form (uncorrected) = -0.67 eV/atom
# magnetization = 0.00 μB/f.u.
data_KZn2AgI6
_chemical_formula_sum 'K2 Zn4 Ag2 I12'
_symmetry_space_group_name_H-M 'P 1'
_symmetry_Int_Tables_number 1
_cell_length_a 8.0655
_cell_length_b 10.7133
_cell_length_c 10.7133
_cell_angle_alpha 88.83
_cell_angle_beta 75.86
_cell_angle_gamma 75.86
loop_
_symmetry_equiv_pos_as_xyz
'x,y,z'
loop_
_atom_site_label
_atom_site_type_symbol
_atom_site_fract_x
_atom_site_fract_y
_atom_site_fract_z
_atom_site_occupancy
I1 I 0.8118 0.0466 0.1977 1
I2 I 0.9219 0.3982 0.8598 1
I3 I 0.1882 0.9534 0.8023 1
I4 I 0.0781 0.6018 0.1402 1
I5 I 0.5229 0.5710 0.6915 1
I6 I 0.5781 0.1402 0.6018 1
I7 I 0.4219 0.8598 0.3982 1
I8 I 0.6882 0.8023 0.9534 1
I9 I 0.9771 0.3085 0.4290 1
I10 I 0.3118 0.1977 0.0466 1
I11 I 0.4771 0.4290 0.3085 1
I12 I 0.0229 0.6915 0.5710 1
Zn1 Zn 0.2958 0.7663 0.6233 1
Zn2 Zn 0.7958 0.6233 0.7663 1
Zn3 Zn 0.2042 0.3767 0.2337 1
Zn4 Zn 0.7042 0.2337 0.3767 1
K1 K 0.2500 0.8750 0.1250 1
K2 K 0.7500 0.1250 0.8750 1
Ag1 Ag 0.7500 0.7739 0.2261 1
Ag2 Ag 0.2500 0.2261 0.7739 1

Computed theoretical density, in the same sequence as the records: 7.8; 7.6; 7.5; 5.5; 7.0; 5.6; 10.4; 2.0; 8.9; 4.0 Mg/m³.